# TlCrSCl2 | Alexandria | PBE-GGA | optimized geometry
# - Energy relative to the elements, uncorrected: 1.11 eV/f.u.
# - Total magnetization: 4.64 μB/cell
data_TlCrSCl2
_cell_length_a 5.3044
_cell_length_b 5.3044
_cell_length_c 5.1439
_cell_angle_alpha 90.00
_cell_angle_beta 90.00
_cell_angle_gamma 90.00
_space_group_name_H-M_alt 'P 4/m m m'
_space_group_IT_number 123
_space_group_name_Hall '-P 4 2'
loop_
_atom_site_label
_atom_site_fract_x
_atom_site_fract_y
_atom_site_fract_z
Tl1 0.0000 0.0000 0.0000
Cr1 0.5000 0.5000 0.5000
S1 0.0000 0.0000 0.5000
Cl1 0.0000 0.5000 0.0000